# Be3Pd2Au2

Be3Pd2Au2 after structural relaxation (PBE-GGA, Alexandria).

a = 4.016 Å, b = 4.028 Å, c = 6.987 Å
α = 90.04°, β = 105.87°, γ = 119.87°
Fractional coordinates of all 7 atoms:
Be  0.000  0.000  0.000
Be  0.511  0.255  0.763
Be  0.489  0.745  0.237
Pd  0.749  0.374  0.123
Pd  0.251  0.626  0.877
Au  0.250  0.126  0.375
Au  0.750  0.874  0.625

Calculated values
energy relative to the elements: -355 meV/atom
D(E_F): 0.373 states/eV/atom
E_tot: -0.1607 hartree per atom
symmetry: P-1 (2)